(1)
Material: TmPu2Si
Method: DFT, PBE
State: relaxed

a = 4.8277 Å, b = 4.3261 Å, c = 4.3261 Å
α = 90.00°, β = 90.00°, γ = 90.00°
Positions (direct):
Pu (0.0000, 0.0000, 0.5000)
Si (0.5000, 0.0000, 0.0000)
Tm (0.5000, 0.5000, 0.5000)
Pu (0.0000, 0.5000, 0.0000)

## Properties
symmetry: P4/mmm (123)
N(E_F): 2.35 states/eV/atom
total magnetization: 11.43 μB/f.u.
ρ: 12.59 g/cm3
energy: -39.50 eV for the cell shown

---

(2)
Material: TlCd2Cu
Method: DFT, PBE
State: relaxed

a = 4.1771 Å, b = 3.6835 Å, c = 6.1538 Å
α = 70.77°, β = 90.00°, γ = 90.00°
Positions (direct):
Cd (0.5000, 0.4447, 0.2350)
Tl (0.5000, 0.7095, 0.6888)
Cd (0.0000, 0.0503, 0.0336)
Cu (0.0000, 0.2955, 0.5426)

## Properties
formation energy from the elements: 0.177 eV per atom
symmetry: Pm (6)
N(E_F): 0.28 states/eV/atom
total magnetization: 0.00 μB/f.u.
ρ: 9.15 g/cm3
energy: -7.59 eV for the cell shown

---

(3)
Material: MnV2Os
Method: DFT, PBE
State: relaxed

a = 4.1823 Å, b = 4.1823 Å, c = 4.1823 Å
α = 60.00°, β = 60.00°, γ = 60.00°
Positions (direct):
Os (0.5000, 0.5000, 0.5000)
V (0.7500, 0.7500, 0.7500)
Mn (0.0000, 0.0000, 0.0000)
V (0.2500, 0.2500, 0.2500)

## Properties
formation energy from the elements: -0.280 eV per atom
symmetry: Fm-3m (225)
N(E_F): 0.96 states/eV/atom
total magnetization: 0.00 μB/f.u.
ρ: 11.14 g/cm3
energy: -39.76 eV for the cell shown

---

(4)
Material: Th2Ge3Ru2
Method: DFT, PBE
State: relaxed

a = 4.2635 Å, b = 7.0413 Å, c = 9.6259 Å
α = 90.00°, β = 102.79°, γ = 90.00°
Positions (direct):
Ge (0.4358, 0.9377, 0.8716)
Th (0.0525, 0.7500, 0.1051)
Ru (0.3066, 0.4543, 0.6132)
Th (0.8367, 0.7500, 0.6734)
Ge (0.5642, 0.0623, 0.1284)
Ru (0.3066, 0.0457, 0.6132)
Th (0.1633, 0.2500, 0.3266)
Ge (0.4358, 0.5623, 0.8716)
Ge (0.5642, 0.4377, 0.1284)
Ru (0.6934, 0.9543, 0.3868)
Ge (0.7837, 0.2500, 0.5673)
Th (0.9475, 0.2500, 0.8949)
Ge (0.2163, 0.7500, 0.4327)
Ru (0.6934, 0.5457, 0.3868)

## Properties
formation energy from the elements: -0.629 eV per atom
symmetry: Cmcm (63)
N(E_F): 0.73 states/eV/atom
total magnetization: 0.00 μB/f.u.
ρ: 10.42 g/cm3
energy: -103.29 eV for the cell shown

---

(5)
Material: Ac3Cd2N2
Method: DFT, PBE
State: relaxed

a = 4.2313 Å, b = 8.1195 Å, c = 8.2398 Å
α = 125.95°, β = 90.00°, γ = 105.10°
Positions (direct):
Ac (0.7830, 0.5661, 0.3554)
Ac (0.0000, 0.0000, 0.0000)
N (0.8118, 0.6235, 0.6827)
Ac (0.2170, 0.4339, 0.6446)
Cd (0.5447, 0.0894, 0.7187)
Cd (0.4553, 0.9106, 0.2813)
N (0.1882, 0.3765, 0.3173)

## Properties
symmetry: C2/m (12)
N(E_F): 0.72 states/eV/atom
total magnetization: 0.00 μB/f.u.
ρ: 7.15 g/cm3
energy: -35.57 eV for the cell shown

---

(6)
Material: Tl2MoP2
Method: DFT, PBE
State: relaxed

a = 7.5550 Å, b = 7.5550 Å, c = 3.6876 Å
α = 90.00°, β = 90.00°, γ = 90.00°
Positions (direct):
P (0.6703, 0.8297, 0.5000)
P (0.3297, 0.1703, 0.5000)
Tl (0.1421, 0.3579, 0.0000)
P (0.8297, 0.3297, 0.5000)
Mo (0.5000, 0.5000, 0.0000)
Tl (0.6421, 0.1421, 0.0000)
Tl (0.3579, 0.8579, 0.0000)
Mo (0.0000, 0.0000, 0.0000)
Tl (0.8579, 0.6421, 0.0000)
P (0.1703, 0.6703, 0.5000)

## Properties
formation energy from the elements: 1.046 eV per atom
symmetry: P4/mbm (127)
N(E_F): 0.57 states/eV/atom
total magnetization: 1.92 μB/f.u.
ρ: 8.94 g/cm3
energy: -42.31 eV for the cell shown

---

(7)
Material: Np3Ge4Rh7
Method: DFT, PBE
State: relaxed

a = 4.0359 Å, b = 7.9919 Å, c = 8.2840 Å
α = 71.28°, β = 75.90°, γ = 75.37°
Positions (direct):
Rh (0.1636, 0.6041, 0.0687)
Ge (0.6612, 0.4482, 0.2294)
Rh (0.4948, 0.2237, 0.7868)
Ge (0.8879, 0.8850, 0.3392)
Ge (0.3388, 0.5518, 0.7706)
Np (0.3292, 0.1753, 0.1664)
Rh (0.6965, 0.1529, 0.4542)
Ge (0.1121, 0.1150, 0.6608)
Rh (0.0000, 0.0000, 0.0000)
Rh (0.8364, 0.3959, 0.9313)
Np (0.0000, 0.5000, 0.5000)
Rh (0.3035, 0.8471, 0.5458)
Rh (0.5052, 0.7763, 0.2132)
Np (0.6708, 0.8247, 0.8336)

## Properties
formation energy from the elements: -0.527 eV per atom
symmetry: C2/m (12)
N(E_F): 2.71 states/eV/atom
total magnetization: 10.25 μB/f.u.
ρ: 11.87 g/cm3
energy: -116.12 eV for the cell shown

---

(8)
Material: AgTe2Cl
Method: DFT, PBE
State: relaxed

a = 3.6991 Å, b = 3.3850 Å, c = 9.0193 Å
α = 98.56°, β = 90.00°, γ = 90.00°
Positions (direct):
Te (0.0000, 0.1070, 0.0240)
Ag (0.0000, 0.3122, 0.5288)
Te (0.5000, 0.2165, 0.2818)
Cl (0.5000, 0.8643, 0.6655)

## Properties
symmetry: Pm (6)
N(E_F): 0.38 states/eV/atom
total magnetization: 0.00 μB/f.u.
ρ: 5.93 g/cm3
energy: -11.31 eV for the cell shown

---

(9)
Material: KPdCl
Method: DFT, PBE
State: relaxed

a = 4.3840 Å, b = 4.3840 Å, c = 9.0175 Å
α = 90.00°, β = 90.00°, γ = 120.00°
Positions (direct):
Pd (0.6667, 0.3333, 0.7500)
K (0.0000, 0.0000, 0.0000)
Cl (0.3333, 0.6667, 0.7500)
K (0.0000, 0.0000, 0.5000)
Cl (0.6667, 0.3333, 0.2500)
Pd (0.3333, 0.6667, 0.2500)

## Properties
symmetry: P6_3/mmc (194)
N(E_F): 0.03 states/eV/atom
total magnetization: 0.00 μB/f.u.
ρ: 4.00 g/cm3
energy: -19.97 eV for the cell shown

---

(10)
Material: Rb2Dy2PaSe6
Method: DFT, PBE
State: relaxed

a = 7.2581 Å, b = 7.2581 Å, c = 8.5663 Å
α = 98.23°, β = 98.23°, γ = 119.96°
Positions (direct):
Se (0.0644, 0.3957, 0.6919)
Se (0.3957, 0.0644, 0.6919)
Se (0.7338, 0.7338, 0.6915)
Pa (0.0000, 0.0000, 0.5000)
Rb (0.1678, 0.8322, 0.0000)
Dy (0.6666, 0.3334, 0.5000)
Se (0.6043, 0.9356, 0.3081)
Rb (0.8322, 0.1678, 0.0000)
Se (0.2662, 0.2662, 0.3085)
Dy (0.3334, 0.6666, 0.5000)
Se (0.9356, 0.6043, 0.3081)

## Properties
symmetry: C2/m (12)
N(E_F): 0.16 states/eV/atom
total magnetization: 1.06 μB/f.u.
ρ: 5.32 g/cm3
energy: -59.78 eV for the cell shown

---

(11)
Material: TcWS2N
Method: DFT, PBE
State: relaxed

a = 4.8219 Å, b = 4.8219 Å, c = 3.8102 Å
α = 90.00°, β = 90.00°, γ = 90.00°
Positions (direct):
W (0.0000, 0.0000, 0.0000)
N (0.0000, 0.0000, 0.5000)
Tc (0.5000, 0.5000, 0.5000)
S (0.5000, 0.0000, 0.0000)
S (0.0000, 0.5000, 0.0000)

## Properties
symmetry: P4/mmm (123)
N(E_F): 0.44 states/eV/atom
total magnetization: 4.59 μB/f.u.
ρ: 6.75 g/cm3
energy: -36.75 eV for the cell shown

---

(12)
Material: NbGe2MoAu
Method: DFT, PBE
State: relaxed

a = 4.9051 Å, b = 5.1529 Å, c = 4.9051 Å
α = 90.00°, β = 90.00°, γ = 90.00°
Positions (direct):
Nb (0.0000, 0.0000, 0.0000)
Ge (0.0000, 0.0000, 0.5000)
Ge (0.5000, 0.0000, 0.0000)
Au (0.0000, 0.5000, 0.0000)
Mo (0.5000, 0.5000, 0.5000)

## Properties
formation energy from the elements: 1.191 eV per atom
symmetry: P4/mmm (123)
N(E_F): 0.74 states/eV/atom
total magnetization: 3.69 μB/f.u.
ρ: 7.11 g/cm3
energy: -27.46 eV for the cell shown

---

(13)
Material: HoThAgPd
Method: DFT, PBE
State: relaxed

a = 5.1371 Å, b = 5.1371 Å, c = 5.1371 Å
α = 60.00°, β = 60.00°, γ = 60.00°
Positions (direct):
Pd (0.7500, 0.7500, 0.7500)
Ho (0.5000, 0.5000, 0.5000)
Th (0.0000, 0.0000, 0.0000)
Ag (0.2500, 0.2500, 0.2500)

## Properties
formation energy from the elements: -0.436 eV per atom
symmetry: F-43m (216)
N(E_F): 1.05 states/eV/atom
total magnetization: 0.00 μB/f.u.
ρ: 10.59 g/cm3
energy: -21.79 eV for the cell shown